(1)
# Pm5Ru2Au2, relaxed, DFT PBE
# formation energy from the elements	-484	meV/atom
# space-group type	No. 64
# total moment	0.0	μB per cell
# Fermi-level density of states	11.28	states/eV per cell
# total energy	-106.42	eV/cell
data_Pm5Ru2Au2
_chemical_formula_sum 'Pm10 Ru4 Au4'
_cell_length_a 7.738
_cell_length_b 7.788
_cell_length_c 8.578
_cell_angle_alpha 90.00
_cell_angle_beta 63.19
_cell_angle_gamma 90.00
_symmetry_space_group_name_H-M 'P 1'
_symmetry_Int_Tables_number 1
loop_
_symmetry_equiv_pos_as_xyz
'x,y,z'
loop_
_atom_site_label
_atom_site_fract_x
_atom_site_fract_y
_atom_site_fract_z
Pm1 0.500 0.500 0.000
Pm2 0.704 0.332 0.254
Pm3 0.457 0.168 0.746
Pm4 0.543 0.832 0.254
Pm5 0.296 0.668 0.746
Pm6 0.796 0.832 0.746
Pm7 0.000 0.000 0.000
Pm8 0.957 0.332 0.746
Pm9 0.043 0.668 0.254
Pm10 0.204 0.168 0.254
Ru1 0.866 0.633 0.000
Ru2 0.366 0.867 0.000
Ru3 0.134 0.367 0.000
Ru4 0.634 0.133 0.000
Au1 0.292 0.500 0.416
Au2 0.792 0.000 0.416
Au3 0.708 0.500 0.584
Au4 0.208 0.000 0.584



(2)
# HfMgZr2B, relaxed, DFT PBE
# E above lowest polymorph	0.0000	eV/atom
# formation energy from the elements	-150	meV/atom
# space-group type	No. 123
# total moment	0.0	μB per cell
# Fermi-level density of states	4.10	states/eV per cell
# total energy	-36.07	eV/cell
data_HfMgZr2B
_chemical_formula_sum 'Hf1 Mg1 Zr2 B1'
_cell_length_a 4.702
_cell_length_b 4.702
_cell_length_c 4.639
_cell_angle_alpha 90.00
_cell_angle_beta 90.00
_cell_angle_gamma 90.00
_symmetry_space_group_name_H-M 'P 1'
_symmetry_Int_Tables_number 1
loop_
_symmetry_equiv_pos_as_xyz
'x,y,z'
loop_
_atom_site_label
_atom_site_fract_x
_atom_site_fract_y
_atom_site_fract_z
Mg1 0.500 0.500 0.500
Zr1 0.500 0.000 0.000
Zr2 0.000 0.500 0.000
B1 0.000 0.000 0.000
Hf1 0.000 0.000 0.500



(3)
# VCuOs2, relaxed, DFT PBE
# E above lowest polymorph	0.0000	eV/atom
# formation energy from the elements	76	meV/atom
# space-group type	No. 123
# total moment	0.0	μB per cell
# Fermi-level density of states	2.80	states/eV per cell
# total energy	-35.37	eV/cell
data_VCuOs2
_chemical_formula_sum 'V1 Cu1 Os2'
_cell_length_a 3.610
_cell_length_b 3.861
_cell_length_c 3.861
_cell_angle_alpha 90.00
_cell_angle_beta 90.00
_cell_angle_gamma 90.00
_symmetry_space_group_name_H-M 'P 1'
_symmetry_Int_Tables_number 1
loop_
_symmetry_equiv_pos_as_xyz
'x,y,z'
loop_
_atom_site_label
_atom_site_fract_x
_atom_site_fract_y
_atom_site_fract_z
V1 0.500 0.000 0.000
Os1 0.000 0.000 0.500
Os2 0.000 0.500 0.000
Cu1 0.500 0.500 0.500



(4)
# AsHSe2S, relaxed, DFT PBE
# E above lowest polymorph	0.5276	eV/atom
# space-group type	No. 123
# total moment	0.2	μB per cell
# Fermi-level density of states	5.04	states/eV per cell
# total energy	-13.56	eV/cell
data_AsHSe2S
_chemical_formula_sum 'As1 H1 Se2 S1'
_cell_length_a 4.938
_cell_length_b 4.938
_cell_length_c 4.844
_cell_angle_alpha 90.00
_cell_angle_beta 90.00
_cell_angle_gamma 90.00
_symmetry_space_group_name_H-M 'P 1'
_symmetry_Int_Tables_number 1
loop_
_symmetry_equiv_pos_as_xyz
'x,y,z'
loop_
_atom_site_label
_atom_site_fract_x
_atom_site_fract_y
_atom_site_fract_z
S1 0.000 0.000 0.000
Se1 0.000 0.500 0.000
Se2 0.500 0.000 0.000
H1 0.500 0.500 0.500
As1 0.000 0.000 0.500



(5)
# LiGa, relaxed, DFT PBE
# formation energy from the elements	62	meV/atom
# space-group type	No. 225
# total moment	0.0	μB per cell
# Fermi-level density of states	3.39	states/eV per cell
# total energy	-19.27	eV/cell
data_LiGa
_chemical_formula_sum 'Li4 Ga4'
_cell_length_a 5.299
_cell_length_b 5.299
_cell_length_c 5.299
_cell_angle_alpha 90.00
_cell_angle_beta 90.00
_cell_angle_gamma 90.00
_symmetry_space_group_name_H-M 'P 1'
_symmetry_Int_Tables_number 1
loop_
_symmetry_equiv_pos_as_xyz
'x,y,z'
loop_
_atom_site_label
_atom_site_fract_x
_atom_site_fract_y
_atom_site_fract_z
Ga1 0.000 0.000 0.500
Ga2 0.500 0.500 0.500
Ga3 0.000 0.500 0.000
Ga4 0.500 0.000 0.000
Li1 0.000 0.500 0.500
Li2 0.500 0.500 0.000
Li3 0.000 0.000 0.000
Li4 0.500 0.000 0.500



(6)
# HoMgIn2Te4, relaxed, DFT PBE
# space-group type	No. 10
# total moment	0.0	μB per cell
# Fermi-level density of states	3.24	states/eV per cell
# total energy	-29.94	eV/cell
data_HoMgIn2Te4
_chemical_formula_sum 'Ho1 Mg1 In2 Te4'
_cell_length_a 4.372
_cell_length_b 8.011
_cell_length_c 7.596
_cell_angle_alpha 71.37
_cell_angle_beta 90.00
_cell_angle_gamma 90.00
_symmetry_space_group_name_H-M 'P 1'
_symmetry_Int_Tables_number 1
loop_
_symmetry_equiv_pos_as_xyz
'x,y,z'
loop_
_atom_site_label
_atom_site_fract_x
_atom_site_fract_y
_atom_site_fract_z
In1 0.000 0.000 0.000
In2 0.500 0.000 0.500
Te1 0.500 0.271 0.744
Te2 0.000 0.277 0.236
Te3 0.500 0.729 0.256
Te4 0.000 0.723 0.764
Ho1 0.000 0.500 0.500
Mg1 0.500 0.500 0.000



(7)
# NbHgIrO6, relaxed, DFT PBE
# space-group type	No. 74
# total moment	0.0	μB per cell
# Fermi-level density of states	10.54	states/eV per cell
# total energy	-118.69	eV/cell
data_NbHgIrO6
_chemical_formula_sum 'Nb2 Hg2 Ir2 O12'
_cell_length_a 7.484
_cell_length_b 7.243
_cell_length_c 7.397
_cell_angle_alpha 119.31
_cell_angle_beta 120.39
_cell_angle_gamma 90.00
_symmetry_space_group_name_H-M 'P 1'
_symmetry_Int_Tables_number 1
loop_
_symmetry_equiv_pos_as_xyz
'x,y,z'
loop_
_atom_site_label
_atom_site_fract_x
_atom_site_fract_y
_atom_site_fract_z
O1 0.553 0.323 0.748
O2 0.553 0.925 0.748
O3 0.447 0.075 0.252
O4 0.564 0.314 0.129
O5 0.436 0.686 0.871
O6 0.447 0.677 0.252
O7 0.805 0.075 0.252
O8 0.810 0.060 0.620
O9 0.805 0.677 0.252
O10 0.195 0.925 0.748
O11 0.195 0.323 0.748
O12 0.190 0.940 0.380
Hg1 0.200 0.450 0.401
Hg2 0.800 0.550 0.599
Ir1 0.500 0.500 0.000
Ir2 0.500 0.000 0.000
Nb1 0.500 0.000 0.500
Nb2 0.000 0.000 0.500



(8)
# As2Pt5, relaxed, DFT PBE
# formation energy from the elements	-99	meV/atom
# space-group type	No. 15
# total moment	0.0	μB per cell
# Fermi-level density of states	8.71	states/eV per cell
# total energy	-80.39	eV/cell
data_As2Pt5
_chemical_formula_sum 'As4 Pt10'
_cell_length_a 4.485
_cell_length_b 10.016
_cell_length_c 6.177
_cell_angle_alpha 80.59
_cell_angle_beta 111.29
_cell_angle_gamma 90.00
_symmetry_space_group_name_H-M 'P 1'
_symmetry_Int_Tables_number 1
loop_
_symmetry_equiv_pos_as_xyz
'x,y,z'
loop_
_atom_site_label
_atom_site_fract_x
_atom_site_fract_y
_atom_site_fract_z
As1 0.597 0.937 0.766
As2 0.169 0.437 0.766
As3 0.831 0.563 0.234
As4 0.403 0.063 0.234
Pt1 0.224 0.662 0.544
Pt2 0.433 0.750 0.000
Pt3 0.966 0.127 0.839
Pt4 0.034 0.873 0.161
Pt5 0.680 0.838 0.456
Pt6 0.567 0.250 0.000
Pt7 0.320 0.162 0.544
Pt8 0.776 0.338 0.456
Pt9 0.127 0.373 0.161
Pt10 0.873 0.627 0.839



(9)
# ScFe2Ag, relaxed, DFT PBE
# formation energy from the elements	99	meV/atom
# space-group type	No. 8
# total moment	4.2	μB per cell
# Fermi-level density of states	3.54	states/eV per cell
# total energy	-25.71	eV/cell
data_ScFe2Ag
_chemical_formula_sum 'Sc1 Fe2 Ag1'
_cell_length_a 5.050
_cell_length_b 5.050
_cell_length_c 4.308
_cell_angle_alpha 64.83
_cell_angle_beta 64.83
_cell_angle_gamma 39.28
_symmetry_space_group_name_H-M 'P 1'
_symmetry_Int_Tables_number 1
loop_
_symmetry_equiv_pos_as_xyz
'x,y,z'
loop_
_atom_site_label
_atom_site_fract_x
_atom_site_fract_y
_atom_site_fract_z
Fe1 0.725 0.725 0.776
Fe2 0.024 0.024 0.976
Sc1 0.490 0.490 0.510
Ag1 0.261 0.261 0.239